(1)
A geometry-optimized Cd3NiH structure, computed with PBEsol.

The structure in POSCAR format:
```
Cd3NiH
1.0
-1.4162 -1.9238 -4.2513
1.9555 -4.2785 1.2847
-4.2368 -1.3317 2.0140
Ni H Cd
1 1 3
direct
0.0000 0.0000 0.0000 Ni
0.5000 0.5000 0.5000 H
0.0000 0.5000 0.0000 Cd
0.0000 0.0000 0.5000 Cd
0.5000 0.0000 0.0000 Cd
```

Computed properties:
Its density of states at the Fermi level is 2.06 states/eV/cell. Its space group is No. 221. The crystal system is cubic. Its total energy is -9.56 eV for the cell shown.

---

(2)
A geometry-optimized CaCr2Tc structure, computed with PBEsol.

The structure in POSCAR format:
```
CaCr2Tc
1.0
-1.3406 -0.1188 2.5646
0.0038 -2.4633 1.5233
6.8729 1.5863 5.3014
Cr Ca Tc
2 1 1
direct
0.2350 0.2350 0.2950 Cr
0.7650 0.7650 0.7050 Cr
0.0000 0.0000 0.0000 Ca
0.5000 0.5000 0.5000 Tc
```

Computed properties:
The calculated formation energy comes out at 0.86 eV/atom. Its density of states at the Fermi level is 4.69 states/eV/cell. Its space group is No. 166. The crystal system is trigonal.

---

(3)
A geometry-optimized Hf2CoSi2 structure, computed with PBEsol.

The structure in POSCAR format:
```
Hf2CoSi2
1.0
4.1219 0.0000 0.0000
0.0000 6.0580 0.0000
0.0000 0.0000 6.0580
Co Si Hf
2 4 4
direct
0.0000 0.0000 0.0000 Co
0.0000 0.5000 0.5000 Co
0.0000 0.3600 0.8600 Si
0.0000 0.8600 0.6400 Si
0.0000 0.6400 0.1400 Si
0.0000 0.1400 0.3600 Si
0.5000 0.1697 0.6697 Hf
0.5000 0.6697 0.8303 Hf
0.5000 0.8303 0.3303 Hf
0.5000 0.3303 0.1697 Hf
```

Computed properties:
Its density of states at the Fermi level is 5.42 states/eV/cell. Its space group is No. 127. Its uncorrected formation energy is -0.84 eV per atom. The crystal system is tetragonal.

---

(4)
A geometry-optimized Sc2AlCu structure, computed with PBEsol.

The structure in POSCAR format:
```
Sc2AlCu
1.0
-2.3318 -1.8441 1.1194
2.7235 -1.2985 3.5341
-1.8732 5.3012 0.3236
Sc Al Cu
2 1 1
direct
0.9719 0.9718 0.9438 Sc
0.7568 0.2569 0.5136 Sc
0.5381 0.5384 0.0762 Al
0.2332 0.7329 0.4664 Cu
```

Computed properties:
The calculated formation energy comes out at -0.28 eV/atom. Its density of states at the Fermi level is 4.97 states/eV/cell. Its space group is No. 8. The crystal system is monoclinic.

---

(5)
A geometry-optimized SrBiP3 structure, computed with PBEsol.

The structure in POSCAR format:
```
SrBiP3
1.0
5.2085 0.0000 0.0000
0.0000 5.2085 0.0000
0.0000 0.0000 5.2085
Sr Bi P
1 1 3
direct
0.5000 0.5000 0.5000 Sr
0.0000 0.0000 0.0000 Bi
0.0000 0.5000 0.0000 P
0.0000 0.0000 0.5000 P
0.5000 0.0000 0.0000 P
```

Computed properties:
The calculated formation energy comes out at 0.48 eV/atom. Its density of states at the Fermi level is 5.26 states/eV/cell. Its space group is No. 221. The crystal system is cubic.

---

(6)
A geometry-optimized CdSn3Ir structure, computed with PBEsol.

The structure in POSCAR format:
```
CdSn3Ir
1.0
-2.8986 3.6484 -2.0937
-3.0066 -3.5752 -2.0676
-2.9419 0.0592 4.1759
Ir Sn Cd
1 3 1
direct
0.0000 0.0000 0.0000 Ir
0.0000 0.5000 0.0000 Sn
0.0000 0.0000 0.5000 Sn
0.5000 0.0000 0.0000 Sn
0.5000 0.5000 0.5000 Cd
```

Computed properties:
The calculated formation energy comes out at 0.20 eV/atom. Its density of states at the Fermi level is 3.89 states/eV/cell. Its space group is No. 221. The crystal system is cubic.

---

(7)
A geometry-optimized NaTiO2 structure, computed with PBEsol.

The structure in POSCAR format:
```
NaTiO2
1.0
5.3384 0.0000 0.0000
0.0000 5.9154 0.0000
0.0000 0.0000 12.4227
Na Ti O
8 8 16
direct
0.3933 0.3988 0.6909 Na
0.3933 0.8988 0.8091 Na
0.1067 0.8988 0.3091 Na
0.1067 0.3988 0.1909 Na
0.8933 0.1012 0.6909 Na
0.8933 0.6012 0.8091 Na
0.6067 0.6012 0.3091 Na
0.6067 0.1012 0.1909 Na
0.3644 0.8294 0.5581 Ti
0.3644 0.3294 0.9419 Ti
0.1356 0.3294 0.4419 Ti
0.1356 0.8294 0.0581 Ti
0.8644 0.1706 0.9419 Ti
0.8644 0.6706 0.5581 Ti
0.6357 0.6706 0.0581 Ti
0.6357 0.1706 0.4419 Ti
0.3761 0.7225 0.1667 O
0.3761 0.2225 0.3333 O
0.1763 0.1489 0.0475 O
0.1763 0.6489 0.4525 O
0.3237 0.6489 0.9525 O
0.3237 0.1489 0.5475 O
0.1239 0.2225 0.8333 O
0.1239 0.7225 0.6667 O
0.8761 0.2775 0.3333 O
0.8761 0.7775 0.1667 O
0.6763 0.8511 0.4525 O
0.6763 0.3511 0.0475 O
0.8237 0.3511 0.5475 O
0.8237 0.8511 0.9525 O
0.6239 0.7775 0.6667 O
0.6239 0.2775 0.8333 O
```

Computed properties:
Its density of states at the Fermi level is 8.00 states/eV/cell. Its space group is No. 61. Its uncorrected formation energy is -2.39 eV per atom. The crystal system is orthorhombic.

---

(8)
A geometry-optimized ThFe2Si2 structure, computed with PBEsol.

The structure in POSCAR format:
```
ThFe2Si2
1.0
-3.7818 -1.2410 0.3920
1.3014 -3.6055 1.1415
1.2392 3.8577 3.7653
Si Fe Th
2 2 1
direct
0.3619 0.3619 0.7238 Si
0.6381 0.6381 0.2762 Si
0.7500 0.2500 0.5000 Fe
0.2500 0.7500 0.5000 Fe
0.0000 0.0000 0.0000 Th
```

Computed properties:
Its density of states at the Fermi level is 3.17 states/eV/cell. Its space group is No. 139. Its uncorrected formation energy is -0.77 eV per atom. The crystal system is tetragonal.

---

(9)
A geometry-optimized ErAl3 structure, computed with PBEsol.

The structure in POSCAR format:
```
ErAl3
1.0
4.6017 0.0000 0.0000
0.0000 6.1222 0.0000
0.0000 -3.0611 5.3020
Al Er
6 2
direct
0.7500 0.8496 0.6992 Al
0.2500 0.6992 0.8496 Al
0.2500 0.1504 0.8496 Al
0.7500 0.8496 0.1504 Al
0.7500 0.3008 0.1504 Al
0.2500 0.1504 0.3008 Al
0.7500 0.3333 0.6667 Er
0.2500 0.6667 0.3333 Er
```

Computed properties:
The calculated formation energy comes out at -0.42 eV/atom. Its density of states at the Fermi level is 3.39 states/eV/cell. Its space group is No. 194. The crystal system is hexagonal.

---

(10)
A geometry-optimized La5AsPb3 structure, computed with PBEsol.

The structure in POSCAR format:
```
La5AsPb3
1.0
7.1181 0.0000 0.0000
0.0000 9.6161 0.0000
0.0000 -4.8081 8.3278
La As Pb
10 2 6
direct
0.7500 0.2444 0.2444 La
0.7500 0.0000 0.7556 La
0.7500 0.7556 0.0000 La
0.2500 0.7556 0.7556 La
0.2500 0.0000 0.2444 La
0.2500 0.2444 0.0000 La
0.5000 0.6667 0.3333 La
0.5000 0.3333 0.6667 La
0.0000 0.3333 0.6667 La
0.0000 0.6667 0.3333 La
0.5000 0.0000 0.0000 As
0.0000 0.0000 0.0000 As
0.7500 0.6019 0.6019 Pb
0.7500 0.0000 0.3981 Pb
0.7500 0.3981 0.0000 Pb
0.2500 0.3981 0.3981 Pb
0.2500 0.0000 0.6019 Pb
0.2500 0.6019 0.0000 Pb
```

Computed properties:
The calculated formation energy comes out at -0.85 eV/atom. Its density of states at the Fermi level is 10.73 states/eV/cell. Its space group is No. 193. The crystal system is hexagonal.

---

(11)
A geometry-optimized InIr3Pd structure, computed with PBEsol.

The structure in POSCAR format:
```
InIr3Pd
1.0
-0.5198 -2.1045 -4.1552
-3.3936 -2.6927 1.7883
-3.1903 3.2071 -1.2252
Ir Pd In
3 1 1
direct
0.0000 0.5000 0.0000 Ir
0.0000 0.0000 0.5000 Ir
0.5000 0.0000 0.0000 Ir
0.0000 0.0000 0.0000 Pd
0.5000 0.5000 0.5000 In
```

Computed properties:
The calculated formation energy comes out at 1.95 eV/atom. Its density of states at the Fermi level is 6.59 states/eV/cell. Its space group is No. 221. The crystal system is cubic.

---

(12)
A geometry-optimized Ir7Ru structure, computed with PBEsol.

The structure in POSCAR format:
```
Ir7Ru
1.0
-4.7626 1.7602 -1.8478
-4.4567 -2.9560 0.7711
-3.7893 1.6791 3.4665
Ir Ru
7 1
direct
0.0000 0.5000 0.5000 Ir
0.0000 0.5000 0.0000 Ir
0.0000 0.0000 0.5000 Ir
0.5000 0.5000 0.0000 Ir
0.5000 0.0000 0.5000 Ir
0.5000 0.0000 0.0000 Ir
0.5000 0.5000 0.5000 Ir
0.0000 0.0000 0.0000 Ru
```

Computed properties:
The calculated formation energy comes out at -0.01 eV/atom. Its density of states at the Fermi level is 8.28 states/eV/cell. Its space group is No. 225. The crystal system is cubic.

---

(13)
A geometry-optimized Li2NiAs structure, computed with PBEsol.

The structure in POSCAR format:
```
Li2NiAs
1.0
-1.7869 -0.4638 1.8947
0.4104 -2.6013 -0.2505
5.4726 0.3579 5.2488
As Li Ni
1 2 1
direct
0.5000 0.5000 0.0000 As
0.0000 0.0000 0.2640 Li
0.0000 0.0000 0.7360 Li
0.5000 0.5000 0.5000 Ni
```

Computed properties:
The calculated formation energy comes out at -0.10 eV/atom. Its density of states at the Fermi level is 2.82 states/eV/cell. Its space group is No. 123. The crystal system is tetragonal.

---

(14)
A geometry-optimized RbFeTcAs2 structure, computed with PBEsol.

The structure in POSCAR format:
```
RbFeTcAs2
1.0
4.7669 0.0000 0.0000
0.0000 4.7669 0.0000
0.0000 0.0000 4.9969
As Tc Rb Fe
2 1 1 1
direct
0.0000 0.5000 0.0000 As
0.5000 0.0000 0.0000 As
0.0000 0.0000 0.0000 Tc
0.5000 0.5000 0.5000 Rb
0.0000 0.0000 0.5000 Fe
```

Computed properties:
The calculated formation energy comes out at 0.46 eV/atom. Its density of states at the Fermi level is 4.45 states/eV/cell. Its space group is No. 123. The crystal system is tetragonal.

---

(15)
A geometry-optimized ZrInAg2 structure, computed with PBEsol.

The structure in POSCAR format:
```
ZrInAg2
1.0
-2.6626 -0.1156 -1.0301
-0.5001 -4.5343 3.0167
-0.0210 5.0533 2.8420
Ag In Zr
2 1 1
direct
0.0000 0.0000 0.5000 Ag
0.5000 0.5000 0.5000 Ag
0.5000 0.0000 0.0000 In
0.0000 0.5000 0.0000 Zr
```

Computed properties:
The calculated formation energy comes out at 0.01 eV/atom. Its density of states at the Fermi level is 3.43 states/eV/cell. Its space group is No. 12. The crystal system is monoclinic.

---

(16)
A geometry-optimized InI2Br structure, computed with PBEsol.

The structure in POSCAR format:
```
InI2Br
1.0
-4.9947 3.9094 2.9835
-1.3601 -6.8090 -1.5625
5.8333 -2.1351 4.7549
I Br In
4 2 2
direct
0.4357 0.0391 0.1293 I
0.0911 0.2117 0.6230 I
0.7532 0.5426 0.6238 I
0.4267 0.8782 0.6257 I
0.6937 0.6623 0.1017 Br
0.0644 0.4009 0.1007 Br
0.5853 0.2924 0.8734 In
0.2488 0.6223 0.8708 In
```

Computed properties:
Its density of states at the Fermi level is 0.00 states/eV/cell. Its space group is No. 1. Its uncorrected formation energy is -0.58 eV per atom. The crystal system is triclinic.

---

(17)
A geometry-optimized SrMg2Se structure, computed with PBEsol.

The structure in POSCAR format:
```
SrMg2Se
1.0
-3.9686 -1.2788 -0.9942
1.7345 -3.5894 -1.7747
-0.4179 -2.8202 5.2957
Mg Se Sr
2 1 1
direct
0.2312 0.2678 0.0000 Mg
0.7688 0.7322 0.0000 Mg
0.0000 0.5000 0.5000 Se
0.5000 0.0000 0.5000 Sr
```

Computed properties:
Its density of states at the Fermi level is 1.36 states/eV/cell. Its space group is No. 10. Its uncorrected formation energy is -0.58 eV per atom. The crystal system is monoclinic.

---

(18)
A geometry-optimized Er2Fe2Si2C structure, computed with PBEsol.

The structure in POSCAR format:
```
Er2Fe2Si2C
1.0
3.8619 0.0000 0.0000
1.9310 5.1835 0.0009
1.9310 0.9982 5.0929
C Er Si Fe
1 2 2 2
direct
0.0000 0.0000 0.0000 C
0.5593 0.1738 0.7076 Er
0.4407 0.8262 0.2924 Er
0.1594 0.3931 0.2880 Si
0.8406 0.6069 0.7120 Si
0.2024 0.6925 0.9028 Fe
0.7976 0.3075 0.0972 Fe
```

Computed properties:
Its density of states at the Fermi level is 3.09 states/eV/cell. Its space group is No. 12. Its uncorrected formation energy is -0.79 eV per atom. The crystal system is monoclinic.

---

(19)
A geometry-optimized Mg2AlZn structure, computed with PBEsol.

The structure in POSCAR format:
```
Mg2AlZn
1.0
2.9569 0.0000 0.0000
0.0000 4.1325 0.0000
0.0000 0.0000 5.9473
Mg Zn Al
2 1 1
direct
0.0000 0.0000 0.7555 Mg
0.0000 0.0000 0.2445 Mg
0.5000 0.5000 0.0000 Zn
0.5000 0.5000 0.5000 Al
```

Computed properties:
The calculated formation energy comes out at -0.01 eV/atom. Its density of states at the Fermi level is 1.46 states/eV/cell. Its space group is No. 47. The crystal system is orthorhombic.

---

(20)
A geometry-optimized KCeF4 structure, computed with PBEsol.

The structure in POSCAR format:
```
KCeF4
1.0
-0.6151 2.9660 -2.1765
-5.9349 0.2122 1.9663
4.1895 9.4038 11.6306
K Ce F
4 4 16
direct
0.7500 0.2801 0.2024 K
0.2500 0.7199 0.7976 K
0.7500 0.7801 0.2976 K
0.2500 0.2199 0.7024 K
0.2500 0.2523 0.4386 Ce
0.7500 0.7477 0.5614 Ce
0.2500 0.7523 0.0614 Ce
0.7500 0.2477 0.9386 Ce
0.2500 0.1383 0.0370 F
0.7500 0.8617 0.9630 F
0.2500 0.6383 0.4630 F
0.7500 0.3617 0.5370 F
0.7500 0.9952 0.4402 F
0.2500 0.0048 0.5598 F
0.7500 0.4952 0.0598 F
0.2500 0.5048 0.9402 F
0.7500 0.4006 0.3640 F
0.2500 0.5994 0.6360 F
0.7500 0.9006 0.1360 F
0.2500 0.0994 0.8640 F
0.2500 0.0916 0.3052 F
0.7500 0.9084 0.6948 F
0.2500 0.5916 0.1948 F
0.7500 0.4084 0.8052 F
```

Computed properties:
Its density of states at the Fermi level is 30.06 states/eV/cell. Its space group is No. 62. Its uncorrected formation energy is -3.61 eV per atom. The crystal system is orthorhombic.

---

(21)
A geometry-optimized La2Ag structure, computed with PBEsol.

The structure in POSCAR format:
```
La2Ag
1.0
4.8532 0.0000 0.0000
0.0000 7.9530 0.0000
0.0000 -3.9765 6.8875
Ag La
3 6
direct
0.5000 0.0000 0.0000 Ag
0.0000 0.6667 0.3333 Ag
0.0000 0.3333 0.6667 Ag
0.0000 0.0000 0.2620 La
0.5000 0.0000 0.5872 La
0.0000 0.7380 0.7380 La
0.0000 0.2620 0.0000 La
0.5000 0.4128 0.4128 La
0.5000 0.5872 0.0000 La
```

Computed properties:
The calculated formation energy comes out at -0.10 eV/atom. Its density of states at the Fermi level is 11.21 states/eV/cell. Its space group is No. 189. The crystal system is hexagonal.

---

(22)
A geometry-optimized TiSe2 structure, computed with PBEsol.

The structure in POSCAR format:
```
TiSe2
1.0
3.4731 0.0000 0.0000
-1.7366 3.0078 0.0000
0.0000 0.0000 5.9174
Se Ti
2 1
direct
0.3333 0.6667 0.2618 Se
0.6667 0.3333 0.7382 Se
0.0000 0.0000 0.0000 Ti
```

Computed properties:
Its density of states at the Fermi level is 0.90 states/eV/cell. Its space group is No. 164. Its uncorrected formation energy is -1.13 eV per atom. The crystal system is trigonal.

---

(23)
A geometry-optimized TaTc3Br structure, computed with PBEsol.

The structure in POSCAR format:
```
TaTc3Br
1.0
4.7633 0.0000 0.0000
0.0000 4.7633 0.0000
0.0000 0.0000 4.7633
Tc Br Ta
3 1 1
direct
0.0000 0.5000 0.0000 Tc
0.0000 0.0000 0.5000 Tc
0.5000 0.0000 0.0000 Tc
0.5000 0.5000 0.5000 Br
0.0000 0.0000 0.0000 Ta
```

Computed properties:
Its density of states at the Fermi level is 7.79 states/eV/cell. Its space group is No. 221. Its uncorrected formation energy is 2.13 eV per atom. The crystal system is cubic.

---

(24)
A geometry-optimized Mn2Al3 structure, computed with PBEsol.

The structure in POSCAR format:
```
Mn2Al3
1.0
6.3317 0.0000 0.0000
0.0000 6.3317 0.0000
0.0000 0.0000 6.3317
Mn Al
8 12
direct
0.1786 0.8214 0.3214 Mn
0.3214 0.1786 0.8214 Mn
0.8214 0.3214 0.1786 Mn
0.6786 0.6786 0.6786 Mn
0.5714 0.4286 0.9286 Mn
0.4286 0.9286 0.5714 Mn
0.9286 0.5714 0.4286 Mn
0.0714 0.0714 0.0714 Mn
0.7962 0.9538 0.3750 Al
0.7038 0.0462 0.8750 Al
0.2038 0.4538 0.1250 Al
0.2962 0.5462 0.6250 Al
0.9538 0.3750 0.7962 Al
0.0462 0.8750 0.7038 Al
0.4538 0.1250 0.2038 Al
0.5462 0.6250 0.2962 Al
0.3750 0.7962 0.9538 Al
0.8750 0.7038 0.0462 Al
0.1250 0.2038 0.4538 Al
0.6250 0.2962 0.5462 Al
```

Computed properties:
The calculated formation energy comes out at -0.24 eV/atom. Its density of states at the Fermi level is 10.13 states/eV/cell. Its space group is No. 213. The crystal system is cubic.